--- 1 ---
# FeAs2Au

A relaxed FeAs2Au crystal (PBE, the Alexandria database).

Cell lengths 2.9175, 2.9175, 8.0170 Å; angles 90.00, 90.00, 90.00 degrees
Last column: nearest neighbours and their distance in Å.
Sites, in units of the cell vectors:
As 0.0000 0.0000 0.9358  4 Fe 2.47
As 0.5000 0.5000 0.2676  4 As 2.92, 4 Au 2.94
Au 0.0000 0.0000 0.5298  4 Fe 2.80, 4 Au 2.92, 4 As 2.94
Fe 0.5000 0.5000 0.7668  4 As 2.47

Results
- crystal system = tetragonal
- space-group type = P4mm (99)
- Fermi-level density of states (states/eV/f.u.) = 2.71



--- 2 ---
# FeAs2Au

A relaxed FeAs2Au crystal (PBE, the Alexandria database).

Cell lengths 2.9849, 2.9833, 7.8983 Å; angles 90.00, 90.00, 90.00 degrees
Last column: nearest neighbours and their distance in Å.
Sites, in units of the cell vectors:
As 0.0000 0.0000 0.8129  4 Fe 2.40, 1 Au 2.57
As 0.5000 0.5000 0.2425  1 Fe 2.26
Au 0.0000 0.0000 0.4879  5 As 2.57-2.87
Fe 0.5000 0.5000 0.9567  5 As 2.26-2.40

Results
- crystal system = tetragonal
- space-group type = P4mm (99)
- Fermi-level density of states (states/eV/f.u.) = 2.00



--- 3 ---
# FeAs2Au

A relaxed FeAs2Au crystal (PBE, the Alexandria database).

Cell lengths 8.1280, 8.1280, 8.1280 Å; angles 22.14, 22.14, 22.14 degrees
Last column: nearest neighbours and their distance in Å.
Sites, in units of the cell vectors:
As 0.0142 0.0142 0.0142  3 Fe 2.44
As 0.4858 0.4858 0.4858  3 Fe 2.44
Au 0.2500 0.2500 0.2500  6 As 2.94, 6 Au 3.12
Fe 0.7500 0.7500 0.7500  6 As 2.44

Results
- crystal system = trigonal
- space-group type = R-3m (166)
- Fermi-level density of states (states/eV/f.u.) = 2.42



Best to worst by energy: 3, 2, 1.



--- 1 ---
# FeAs2Au

A relaxed FeAs2Au crystal (PBE, the Alexandria database).

Cell lengths 6.6995, 5.9513, 2.7891 Å; angles 61.85, 114.94, 131.43 degrees
Last column: nearest neighbours and their distance in Å.
Sites, in units of the cell vectors:
As 0.0000 0.0000 0.0000  2 Fe 2.62, 2 Au 2.62, 2 As 2.79
As 0.5000 0.0000 0.5000  2 Au 2.62, 2 Fe 2.62, 2 As 2.79
Au 0.0000 0.5000 0.5000  4 As 2.62, 2 Au 2.79
Fe 0.5000 0.5000 0.0000  4 As 2.62, 2 Fe 2.79

Results
- crystal system = monoclinic
- space-group type = C2/m (12)
- Fermi-level density of states (states/eV/f.u.) = 3.31



--- 2 ---
# FeAs2Au

A relaxed FeAs2Au crystal (PBE, the Alexandria database).

Cell lengths 4.5035, 4.5035, 4.5035 Å; angles 60.00, 60.00, 60.00 degrees
Last column: nearest neighbours and their distance in Å.
Sites, in units of the cell vectors:
As 0.2500 0.2500 0.2500  4 Au 2.76, 4 Fe 2.76
As 0.7500 0.7500 0.7500  4 Au 2.76, 4 Fe 2.76
Au 0.5000 0.5000 0.5000  8 As 2.76
Fe 0.0000 0.0000 0.0000  8 As 2.76

Results
- crystal system = cubic
- space-group type = Fm-3m (225)
- Fermi-level density of states (states/eV/f.u.) = 6.94



--- 3 ---
# FeAs2Au

A relaxed FeAs2Au crystal (PBE, the Alexandria database).

Cell lengths 6.6553, 6.6553, 6.6553 Å; angles 155.22, 146.88, 41.80 degrees
Last column: nearest neighbours and their distance in Å.
Sites, in units of the cell vectors:
As 0.0690 0.0690 0.0000  2 Fe 2.40
As 0.7718 0.2718 0.5000  4 Fe 2.45
Au 0.4347 0.4347 0.0000  6 As 2.78-2.90, 2 Au 2.86, 2 Fe 2.98
Fe 0.2244 0.7244 0.5000  6 As 2.40-2.45

Results
- crystal system = orthorhombic
- space-group type = Imm2 (44)
- Fermi-level density of states (states/eV/f.u.) = 2.75



Best to worst by energy: 3, 1, 2.



--- 1 ---
# FeAs2Au

A relaxed FeAs2Au crystal (PBE, the Alexandria database).

Cell lengths 2.8943, 2.9163, 7.9468 Å; angles 90.00, 90.00, 90.00 degrees
Last column: nearest neighbours and their distance in Å.
Sites, in units of the cell vectors:
As 0.0000 0.2498 0.9339  4 Fe 2.52
As 0.0000 0.2502 0.5661  4 Fe 2.52
Au 0.5000 0.2500 0.2500  4 Au 2.89-2.92, 4 As 2.90
Fe 0.5000 0.7500 0.7500  8 As 2.52

Results
- crystal system = orthorhombic
- space-group type = Pmmm (47)
- Fermi-level density of states (states/eV/f.u.) = 1.81



--- 2 ---
# FeAs2Au

A relaxed FeAs2Au crystal (PBE, the Alexandria database).

Cell lengths 4.6232, 4.6232, 4.6232 Å; angles 60.00, 60.00, 60.00 degrees
Last column: nearest neighbours and their distance in Å.
Sites, in units of the cell vectors:
As 0.0000 0.0000 0.0000  4 Fe 2.83, 4 As 2.83
As 0.7500 0.7500 0.7500  4 Au 2.83, 4 As 2.83
Au 0.5000 0.5000 0.5000  4 As 2.83, 4 Fe 2.83
Fe 0.2500 0.2500 0.2500  4 As 2.83, 4 Au 2.83

Results
- crystal system = cubic
- space-group type = F-43m (216)
- Fermi-level density of states (states/eV/f.u.) = 3.03



--- 3 ---
# FeAs2Au

A relaxed FeAs2Au crystal (PBE, the Alexandria database).

Cell lengths 2.8796, 2.8776, 8.1310 Å; angles 90.00, 90.00, 90.00 degrees
Last column: nearest neighbours and their distance in Å.
Sites, in units of the cell vectors:
As 0.0000 0.0000 0.9313  4 Fe 2.51
As 0.0000 0.0000 0.5687  4 Fe 2.51
Au 0.5000 0.5000 0.2500  4 Au 2.88
Fe 0.5000 0.5000 0.7500  8 As 2.51

Results
- crystal system = tetragonal
- space-group type = P4/mmm (123)
- Fermi-level density of states (states/eV/f.u.) = 2.66



--- 4 ---
# FeAs2Au

A relaxed FeAs2Au crystal (PBE, the Alexandria database).

Cell lengths 5.0557, 5.0557, 5.8219 Å; angles 69.33, 69.33, 32.43 degrees
Last column: nearest neighbours and their distance in Å.
Sites, in units of the cell vectors:
As 0.8905 0.8905 0.0337  2 Fe 2.40
As 0.7299 0.7299 0.7403  2 Fe 2.36
Au 0.5781 0.5781 0.3344  3 Fe 2.58-2.71, 2 Au 2.82
Fe 0.3015 0.3015 0.3916  4 As 2.36-2.40, 1 Au 2.58

Results
- crystal system = monoclinic
- space-group type = Cm (8)
- Fermi-level density of states (states/eV/f.u.) = 2.46



Best to worst by energy: 1, 3, 4, 2.



--- 1 ---
# Ga3AsAu

A relaxed Ga3AsAu crystal (PBE, the Alexandria database).

Cell lengths 4.9581, 4.9581, 4.9581 Å; angles 90.00, 90.00, 90.00 degrees
Last column: nearest neighbours and their distance in Å.
Sites, in units of the cell vectors:
As 0.5000 0.5000 0.5000  12 Ga 3.51
Au 0.0000 0.0000 0.0000  6 Ga 2.48
Ga 0.0000 0.5000 0.0000  2 Au 2.48
Ga 0.0000 0.0000 0.5000  2 Au 2.48
Ga 0.5000 0.0000 0.0000  2 Au 2.48

Results
- crystal system = cubic
- space-group type = Pm-3m (221)
- Fermi-level density of states (states/eV/f.u.) = 3.07



--- 2 ---
# Ga3AsAu

A relaxed Ga3AsAu crystal (PBE, the Alexandria database).

Cell lengths 5.0030, 5.0030, 5.0030 Å; angles 90.00, 90.00, 90.00 degrees
Last column: nearest neighbours and their distance in Å.
Sites, in units of the cell vectors:
As 0.0000 0.0000 0.0000  6 Ga 2.50
Au 0.5000 0.5000 0.5000  12 Ga 3.54
Ga 0.0000 0.5000 0.0000  2 As 2.50
Ga 0.0000 0.0000 0.5000  2 As 2.50
Ga 0.5000 0.0000 0.0000  2 As 2.50

Results
- crystal system = cubic
- space-group type = Pm-3m (221)
- Fermi-level density of states (states/eV/f.u.) = 1.62



Best to worst by energy: 1, 2.



--- 1 ---
# KGaAs2Au

A relaxed KGaAs2Au crystal (PBE, the Alexandria database).

Cell lengths 6.9136, 6.9283, 6.6632 Å; angles 121.32, 90.00, 90.00 degrees
Last column: nearest neighbours and their distance in Å.
Sites, in units of the cell vectors:
K 0.2439 0.7500 0.5000  2 Au 3.31, 2 As 3.48
K 0.7561 0.2500 0.5000  2 Au 3.31, 2 As 3.48
Ga 0.5000 0.7500 0.0000  4 As 2.53
Ga 0.5000 0.2500 0.0000  4 As 2.53
As 0.6921 0.8884 0.7767  1 Au 2.48, 2 Ga 2.53
As 0.6921 0.6116 0.2233  1 Au 2.48, 2 Ga 2.53
As 0.3079 0.3884 0.7767  1 Au 2.48, 2 Ga 2.53
As 0.3079 0.1116 0.2233  1 Au 2.48, 2 Ga 2.53
Au 0.0000 0.0000 0.0000  2 As 2.48
Au 0.0000 0.5000 0.0000  2 As 2.48

Results
- crystal system = orthorhombic
- space-group type = Cmme (67)
- Fermi-level density of states (states/eV/f.u.) = 1.09



--- 2 ---
# KGaAs2Au

A relaxed KGaAs2Au crystal (PBE, the Alexandria database).

Cell lengths 5.6573, 5.6573, 5.6627 Å; angles 90.00, 90.00, 90.00 degrees
Last column: nearest neighbours and their distance in Å.
Sites, in units of the cell vectors:
As 0.0000 0.5000 0.0000  2 K 2.83
As 0.5000 0.0000 0.0000  2 K 2.83
Au 0.0000 0.0000 0.5000  2 K 2.83
K 0.0000 0.0000 0.0000  4 As 2.83, 2 Au 2.83
Ga 0.5000 0.5000 0.5000  4 Au 4.00, 8 As 4.00

Results
- crystal system = tetragonal
- space-group type = P4/mmm (123)
- Fermi-level density of states (states/eV/f.u.) = 4.05



Best to worst by energy: 1, 2.



--- 1 ---
# Gd2AsAu

A relaxed Gd2AsAu crystal (PBE, the Alexandria database).

Cell lengths 3.6774, 3.6774, 6.9287 Å; angles 90.00, 90.00, 90.00 degrees
Last column: nearest neighbours and their distance in Å.
Sites, in units of the cell vectors:
As 0.5000 0.5000 0.0000  8 Gd 3.08
Gd 0.0000 0.0000 0.7608  4 As 3.08, 4 Au 3.17, 1 Gd 3.32
Gd 0.0000 0.0000 0.2392  4 As 3.08, 4 Au 3.17, 1 Gd 3.32
Au 0.5000 0.5000 0.5000  8 Gd 3.17, 2 As 3.46

Results
- crystal system = tetragonal
- space-group type = P4/mmm (123)
- Fermi-level density of states (states/eV/f.u.) = 3.01



--- 2 ---
# Gd2AsAu

A relaxed Gd2AsAu crystal (PBE, the Alexandria database).

Cell lengths 4.1051, 4.1051, 7.5677 Å; angles 74.26, 74.26, 60.00 degrees
Last column: nearest neighbours and their distance in Å.
Sites, in units of the cell vectors:
As 0.0000 0.0000 0.0000  6 Gd 2.92
Gd 0.2545 0.2545 0.2364  3 As 2.92, 3 Au 3.03
Gd 0.7455 0.7455 0.7636  3 As 2.92, 3 Au 3.03
Au 0.5000 0.5000 0.5000  6 Gd 3.03

Results
- crystal system = trigonal
- space-group type = R-3m (166)
- Fermi-level density of states (states/eV/f.u.) = 4.25



Best to worst by energy: 2, 1.